1.
! MnIn2Ag | Alexandria via LeMat-Bulk | PBE | relaxed; values from VASP
! * VASP energy: -4.19 eV per atom
! * E above lowest polymorph: 45.9 meV/atom
! * theoretical density: 8.20 Mg/m³
! * energy of formation: 0.188 eV/atom
! * crystal system: tetragonal
&SYSTEM
  ibrav = 0, nat = 4, ntyp = 3
/
ATOMIC_SPECIES
In 114.82 In.upf
Ag 107.87 Ag.upf
Mn 54.94 Mn.upf
CELL_PARAMETERS angstrom
-4.8596 2.0849 1.1517
-4.1297 -3.1020 -1.6162
4.5170 -0.8835 2.8469
ATOMIC_POSITIONS angstrom
In -2.0536 -2.2471 0.4992
Ag -2.4186 0.3464 1.8832
Mn -4.4946 -0.5086 -0.2323
In 0.0000 0.0000 0.0000


2.
! Cs2Na2CdHg2 | Alexandria via LeMat-Bulk | PBE | relaxed; values from VASP
! * VASP energy: -0.98 eV per atom
! * theoretical density: 4.53 Mg/m³
! * energy of formation: -0.139 eV/atom
! * crystal system: monoclinic
&SYSTEM
  ibrav = 0, nat = 7, ntyp = 4
/
ATOMIC_SPECIES
Cs 132.91 Cs.upf
Cd 112.41 Cd.upf
Na 22.99 Na.upf
Hg 200.59 Hg.upf
CELL_PARAMETERS angstrom
5.4229 0.0000 0.0000
2.7115 7.7227 -1.6892
2.7115 0.2995 7.1628
ATOMIC_POSITIONS angstrom
Cs 5.4230 2.0611 3.8674
Cd 0.0000 0.0000 0.0000
Na 8.1344 6.1662 4.9137
Hg 8.1344 3.2676 6.4421
Hg 2.7115 4.7545 -0.9685
Na 2.7115 1.8560 0.5599
Cs 5.4229 5.9611 1.6062